A plane-wave DFT calculation with PBE was carried out for a relaxed TlSn5Os3 crystal.

Unit cell a=5.5025 b=5.5025 c=8.1910 alpha=90.00 beta=90.00 gamma=120.00
Space group P6/mmm (No. 191)
Inequivalent atoms, fractional coordinates:
Tl: 0.0000 0.0000 0.0000 x1
Sn: 0.0000 0.0000 0.5000 x1
Sn: 0.3333 0.6667 0.2163 x4
Os: 0.0000 0.5000 0.5000 x3

Computed properties:
electronic total energy: -53.3 eV for the cell shown
spin magnetization: 1.59 μB/cell